Entry 1:
The following is a DFT calculation (GGA-PBE) of a geometry-optimized CeNdC structure.

abc: 3.233 3.233 12.418
angles: 90.00 90.00 90.00
Element x y z (fractional)
Ce 0.000 0.000 0.000
Ce 0.500 0.500 0.500
Nd 0.000 0.000 0.228
Nd 0.500 0.500 0.728
C 0.000 0.000 0.604
C 0.500 0.500 0.104

Results
offset from the most stable computed form: 362 meV/atom
VASP energy: -6.393 eV/atom


Entry 2:
The following is a DFT calculation (GGA-PBE) of a geometry-optimized CeNd2C structure.

abc: 3.597 3.597 30.096
angles: 90.00 90.00 120.00
Element x y z (fractional)
Ce 0.000 0.000 0.000
Ce 0.333 0.667 0.667
Ce 0.667 0.333 0.333
Nd 0.000 0.000 0.119
Nd 0.000 0.000 0.881
Nd 0.333 0.667 0.548
Nd 0.333 0.667 0.786
Nd 0.667 0.333 0.214
Nd 0.667 0.333 0.452
C 0.000 0.000 0.500
C 0.333 0.667 0.167
C 0.667 0.333 0.833

Results
VASP energy: -6.069 eV/atom


Entry 3:
The following is a DFT calculation (GGA-PBE) of a geometry-optimized CeNd3C structure.

abc: 5.235 5.235 5.235
angles: 90.00 90.00 90.00
Element x y z (fractional)
Ce 0.000 0.000 0.000
Nd 0.000 0.500 0.500
Nd 0.500 0.000 0.500
Nd 0.500 0.500 0.000
C 0.500 0.500 0.500

Results
VASP energy: -5.694 eV/atom


Entry 4:
The following is a DFT calculation (GGA-PBE) of a geometry-optimized Ce2NdC2 structure.

abc: 6.516 6.516 5.274
angles: 108.25 108.25 96.46
Element x y z (fractional)
Ce 0.055 0.289 0.463
Ce 0.289 0.055 0.963
Ce 0.711 0.945 0.037
Ce 0.945 0.711 0.537
Nd 0.356 0.644 0.250
Nd 0.644 0.356 0.750
C 0.095 0.905 0.250
C 0.344 0.656 0.750
C 0.656 0.344 0.250
C 0.905 0.095 0.750

Results
offset from the most stable computed form: 228 meV/atom
VASP energy: -6.871 eV/atom


Entry 5:
The following is a DFT calculation (GGA-PBE) of a geometry-optimized CeNd2PbC structure.

abc: 5.168 5.168 4.930
angles: 90.00 90.00 90.00
Element x y z (fractional)
Ce 0.000 0.000 0.000
Nd 0.000 0.500 0.500
Nd 0.500 0.000 0.500
Pb 0.500 0.500 0.000
C 0.000 0.000 0.500

Results
VASP energy: -6.067 eV/atom


Entry 6:
The following is a DFT calculation (GGA-PBE) of a geometry-optimized Ce2NdPbC structure.

abc: 4.971 4.971 5.199
angles: 90.00 90.00 90.00
Element x y z (fractional)
Ce 0.000 0.500 0.000
Ce 0.500 0.000 0.000
Nd 0.000 0.000 0.500
Pb 0.500 0.500 0.500
C 0.000 0.000 0.000

Results
VASP energy: -6.296 eV/atom


Entry 7:
The following is a DFT calculation (GGA-PBE) of a geometry-optimized CeNd2Tc2C4 structure.

abc: 7.058 7.058 6.236
angles: 108.94 108.94 29.13
Element x y z (fractional)
Ce 0.000 0.000 0.000
Nd 0.135 0.135 0.532
Nd 0.865 0.865 0.468
Tc 0.319 0.319 0.005
Tc 0.681 0.681 0.995
C 0.224 0.224 0.209
C 0.457 0.457 0.243
C 0.543 0.543 0.757
C 0.776 0.776 0.791

Results
VASP energy: -8.114 eV/atom


Entry 8:
The following is a DFT calculation (GGA-PBE) of a geometry-optimized Ce2NdTlC structure.

abc: 4.959 4.959 5.204
angles: 90.00 90.00 90.00
Element x y z (fractional)
Ce 0.000 0.500 0.000
Ce 0.500 0.000 0.000
Nd 0.000 0.000 0.500
Tl 0.500 0.500 0.500
C 0.000 0.000 0.000

Results
VASP energy: -5.918 eV/atom


Entry 9:
The following is a DFT calculation (GGA-PBE) of a geometry-optimized CeNd2TlC structure.

abc: 5.177 5.177 4.906
angles: 90.00 90.00 90.00
Element x y z (fractional)
Ce 0.000 0.000 0.000
Nd 0.000 0.500 0.500
Nd 0.500 0.000 0.500
Tl 0.500 0.500 0.000
C 0.000 0.000 0.500

Results
VASP energy: -5.693 eV/atom


Entry 10:
The following is a DFT calculation (GGA-PBE) of a geometry-optimized Ce2NdZnC structure.

abc: 4.884 4.884 5.142
angles: 90.00 90.00 90.00
Element x y z (fractional)
Ce 0.000 0.500 0.000
Ce 0.500 0.000 0.000
Nd 0.000 0.000 0.500
Zn 0.500 0.500 0.500
C 0.000 0.000 0.000

Results
VASP energy: -5.521 eV/atom


Entry 11:
The following is a DFT calculation (GGA-PBE) of a geometry-optimized CeNiC structure.

abc: 6.671 5.109 5.220
angles: 90.00 90.00 90.00
Element x y z (fractional)
Ce 0.181 0.250 0.139
Ce 0.319 0.750 0.639
Ce 0.681 0.250 0.361
Ce 0.819 0.750 0.861
Ni 0.035 0.250 0.651
Ni 0.465 0.750 0.151
Ni 0.535 0.250 0.849
Ni 0.965 0.750 0.349
C 0.178 0.750 0.095
C 0.322 0.250 0.595
C 0.678 0.750 0.405
C 0.822 0.250 0.905

Results
offset from the most stable computed form: 0 meV/atom
VASP energy: -7.217 eV/atom


Entry 12:
The following is a DFT calculation (GGA-PBE) of a geometry-optimized Ce2NiC structure.

abc: 3.337 3.337 23.959
angles: 90.00 90.00 120.00
Element x y z (fractional)
Ce 0.000 0.000 0.104
Ce 0.000 0.000 0.896
Ce 0.333 0.667 0.562
Ce 0.333 0.667 0.771
Ce 0.667 0.333 0.229
Ce 0.667 0.333 0.438
Ni 0.000 0.000 0.000
Ni 0.333 0.667 0.667
Ni 0.667 0.333 0.333
C 0.000 0.000 0.500
C 0.333 0.667 0.167
C 0.667 0.333 0.833

Results
VASP energy: -6.559 eV/atom


Entry 13:
The following is a DFT calculation (GGA-PBE) of a geometry-optimized Ce2Ni4C structure.

abc: 3.830 3.830 15.202
angles: 90.00 90.00 90.00
Element x y z (fractional)
Ce 0.000 0.000 0.162
Ce 0.000 0.000 0.838
Ce 0.500 0.500 0.338
Ce 0.500 0.500 0.662
Ni 0.000 0.000 0.375
Ni 0.000 0.000 0.625
Ni 0.000 0.500 0.000
Ni 0.000 0.500 0.500
Ni 0.500 0.000 0.000
Ni 0.500 0.000 0.500
Ni 0.500 0.500 0.125
Ni 0.500 0.500 0.875
C 0.000 0.000 0.500
C 0.500 0.500 0.000

Results
VASP energy: -6.514 eV/atom


Entry 14:
The following is a DFT calculation (GGA-PBE) of a geometry-optimized Ce4Ni13C4 structure.

abc: 8.438 8.438 3.905
angles: 90.00 90.00 90.75
Element x y z (fractional)
Ce 0.185 0.815 0.000
Ce 0.349 0.349 0.000
Ce 0.651 0.651 0.000
Ce 0.815 0.185 0.000
Ni 0.000 0.000 0.500
Ni 0.000 0.500 0.000
Ni 0.072 0.291 0.500
Ni 0.124 0.124 0.000
Ni 0.214 0.571 0.500
Ni 0.291 0.072 0.500
Ni 0.429 0.786 0.500
Ni 0.500 0.000 0.000
Ni 0.571 0.214 0.500
Ni 0.709 0.928 0.500
Ni 0.786 0.429 0.500
Ni 0.876 0.876 0.000
Ni 0.928 0.709 0.500
C 0.000 0.500 0.500
C 0.443 0.557 0.500
C 0.500 0.000 0.500
C 0.557 0.443 0.500

Results
VASP energy: -6.765 eV/atom


Entry 15:
The following is a DFT calculation (GGA-PBE) of a geometry-optimized CeNiC structure.

abc: 3.628 3.628 3.693
angles: 90.00 90.00 120.00
Element x y z (fractional)
Ce 0.000 0.000 0.000
Ni 0.333 0.667 0.500
C 0.667 0.333 0.498

Results
offset from the most stable computed form: 78 meV/atom
VASP energy: -7.139 eV/atom


Entry 16:
The following is a DFT calculation (GGA-PBE) of a geometry-optimized CeNiC2 structure.

abc: 3.821 4.541 6.005
angles: 90.00 90.00 90.00
Element x y z (fractional)
Ce 0.000 0.000 0.000
Ce 0.000 0.500 0.500
Ni 0.500 0.000 0.395
Ni 0.500 0.500 0.895
C 0.500 0.153 0.707
C 0.500 0.347 0.207
C 0.500 0.653 0.207
C 0.500 0.847 0.707

Results
VASP energy: -7.768 eV/atom


Entry 17:
The following is a DFT calculation (GGA-PBE) of a geometry-optimized CeNiC structure.

abc: 2.802 2.802 10.000
angles: 90.00 90.00 90.00
Element x y z (fractional)
Ce 0.000 0.000 0.000
Ce 0.500 0.500 0.500
Ni 0.000 0.000 0.268
Ni 0.500 0.500 0.768
C 0.000 0.000 0.705
C 0.500 0.500 0.205

Results
offset from the most stable computed form: 655 meV/atom
VASP energy: -6.562 eV/atom


Entry 18:
The following is a DFT calculation (GGA-PBE) of a geometry-optimized CeNiC structure.

abc: 5.349 3.453 5.538
angles: 90.00 114.83 90.00
Element x y z (fractional)
Ce 0.226 0.000 0.369
Ce 0.774 0.000 0.631
Ni 0.248 0.500 0.903
Ni 0.752 0.500 0.097
C 0.480 0.500 0.734
C 0.520 0.500 0.266

Results
offset from the most stable computed form: 351 meV/atom
VASP energy: -6.866 eV/atom


Entry 19:
The following is a DFT calculation (GGA-PBE) of a geometry-optimized CeNpC structure.

abc: 3.471 3.471 5.004
angles: 90.00 90.00 120.00
Element x y z (fractional)
Ce 0.000 0.000 0.000
Np 0.333 0.667 0.415
C 0.667 0.333 0.680

Results
offset from the most stable computed form: 0 meV/atom
VASP energy: -9.306 eV/atom


Entry 20:
The following is a DFT calculation (GGA-PBE) of a geometry-optimized CeNpC2 structure.

abc: 6.111 3.529 5.910
angles: 90.00 90.09 90.00
Element x y z (fractional)
Ce 0.000 0.000 0.000
Ce 0.500 0.500 0.000
Np 0.000 0.000 0.500
Np 0.500 0.500 0.500
C 0.167 0.500 0.278
C 0.333 0.000 0.722
C 0.667 0.000 0.278
C 0.833 0.500 0.722

Results
offset from the most stable computed form: 145 meV/atom
VASP energy: -9.144 eV/atom